Tb5Nd2In: relaxed, PBE-GGA.

abc: 7.095 7.095 7.095
angles: 120.43 120.43 89.26
Element x y z (fractional)
1 Tb 0.000 0.000 0.000
2 Tb 0.000 0.000 0.500
3 Tb 0.000 0.500 0.000
4 Tb 0.500 0.000 0.000
5 Tb 0.500 0.500 0.500
6 Nd 0.000 0.500 0.500
7 Nd 0.500 0.000 0.500
8 In 0.500 0.500 0.000

* polymorph energy (0 for the lowest one): 0.23 eV per formula unit
* space-group type: I4/mmm, No. 139
* energy of formation: -0.077 eV per atom